This record from the Alexandria database describes a relaxed Li2CoSiO4 crystal. The functional is PBE+U.

Cell and atoms, written as CIF:
```
data_Li2CoSiO4
_chemical_formula_sum 'Li4 Co2 Si2 O8'
_space_group_name_H-M_alt 'P m n 21'
_space_group_IT_number 31
_cell_length_a 6.186
_cell_length_b 5.463
_cell_length_c 5.000
_cell_angle_alpha 90.00
_cell_angle_beta 90.00
_cell_angle_gamma 90.00
loop_
_space_group_symop_operation_xyz
'x,y,z'
'-x+1/2,-y,z+1/2'
'-x,y,z'
'x+1/2,-y,z+1/2'
loop_
_atom_site_label
_atom_site_fract_x
_atom_site_fract_y
_atom_site_fract_z
_atom_site_occupancy
Li1 0.248 0.167 0.000 1
Co1 0.000 0.342 0.499 1
Si1 0.000 0.672 0.993 1
O1 0.000 0.384 0.098 1
O2 0.000 0.673 0.663 1
O3 0.219 0.818 0.101 1
```

Properties
- D(E_F): 0.000 states/eV/cell
- Relative energy among the computed polymorphs: 4 meV per atom
- Crystal system: orthorhombic